# MnCo3F8 (PBE with a Hubbard U, relaxed)
# Density of states at the Fermi level = 0.000 states/eV per atom
# E_tot = -5.33 eV per atom
data_MnCo3F8
_cell_length_a 13.079
_cell_length_b 4.094
_cell_length_c 6.827
_cell_angle_alpha 90.00
_cell_angle_beta 106.14
_cell_angle_gamma 90.00
_symmetry_space_group_name_H-M 'C 1 m 1'
_symmetry_Int_Tables_number 8
loop_
_symmetry_equiv_pos_as_xyz
'x,y,z'
'x,-y,z'
'x+1/2,y+1/2,z'
'x+1/2,-y+1/2,z'
loop_
_atom_site_label
_atom_site_type_symbol
_atom_site_fract_x
_atom_site_fract_y
_atom_site_fract_z
Mn1 Mn 0.000 0.000 0.000
Co1 Co 0.099 0.000 0.586
Co2 Co 0.302 0.000 0.980
Co3 Co 0.401 0.000 0.574
F1 F 0.061 0.500 0.573
F2 F 0.081 0.000 0.293
F3 F 0.141 0.000 0.901
F4 F 0.265 0.000 0.658
F5 F 0.333 0.500 0.980
F6 F 0.348 0.000 0.277
F7 F 0.441 0.500 0.634
F8 F 0.456 0.000 0.919